Below is crystalline Y3PaPd12 at its relaxed geometry, with properties calculated at the PBE level.

Values from the calculation:
E_form   -874 meV/atom
E_tot   -105.2 eV for the cell shown
M_tot   0.000 μB/f.u.
Density   10.42 g cm⁻³

Cell lengths 4.143, 4.143, 16.474 Å; angles 90.00, 90.00, 90.00 degrees
Sites, in units of the cell vectors:
Y (0.000, 0.000, 0.255)
Y (0.000, 0.000, 0.500)
Y (0.000, 0.000, 0.745)
Pa (0.000, 0.000, 0.000)
Pd (0.500, 0.500, 0.000)
Pd (0.500, 0.500, 0.248)
Pd (0.500, 0.500, 0.500)
Pd (0.500, 0.500, 0.752)
Pd (0.500, 0.000, 0.121)
Pd (0.500, 0.000, 0.374)
Pd (0.500, 0.000, 0.626)
Pd (0.500, 0.000, 0.879)
Pd (0.000, 0.500, 0.121)
Pd (0.000, 0.500, 0.374)
Pd (0.000, 0.500, 0.626)
Pd (0.000, 0.500, 0.879)